Record 1
TaMo2Rh (PBE-GGA, optimized geometry); magnetization = 0.0 μB per formula unit; space group = Cmmm, No. 65; E_form = -0.050 eV per atom; ΔE to the lowest computed polymorph = 80.9 meV/atom
1.0
1.7374 -2.1315 0.0000
1.7374 2.1315 0.0000
0.0000 0.0000 8.6520
Ta Mo Rh
1 2 1
Direct
0.0000 0.0000 0.0000
0.5000 0.5000 0.2654
0.5000 0.5000 0.7346
0.0000 0.0000 0.5000

Record 2
Ta2MoRh (PBE-GGA, optimized geometry); magnetization = 0.0 μB per formula unit; space group = Imm2, No. 44; E_form = -0.199 eV per atom; ΔE to the lowest computed polymorph = 148.6 meV/atom
1.0
-1.6509 2.2230 4.5362
1.6509 -2.2230 4.5362
1.6509 2.2230 -4.5362
Ta Mo Rh
2 1 1
Direct
0.0000 0.0000 0.0000
0.7454 0.2454 0.5000
0.2368 0.7368 0.5000
0.4951 0.4951 0.0000

Record 3
TaMo2Rh (PBE-GGA, optimized geometry); magnetization = 0.0 μB per formula unit; space group = P4/mmm, No. 123; E_form = 0.018 eV per atom; ΔE to the lowest computed polymorph = 148.5 meV/atom
1.0
4.4292 0.0000 0.0000
0.0000 4.4292 0.0000
0.0000 0.0000 3.2724
Ta Mo Rh
1 2 1
Direct
0.0000 0.0000 0.0000
0.0000 0.5000 0.5000
0.5000 0.0000 0.5000
0.5000 0.5000 0.0000